Crystalline Nd6YHo8 at its relaxed geometry, computed with PBE.

## Properties
Its energy relative to the lowest polymorph listed for this composition is 0.00 eV per formula unit. The space-group type is R-3. The uncorrected energy comes out at -69.86 eV per cell.

Structure (POSCAR):
```
Nd6YHo8
1.0
4.554 2.629 6.972
-4.554 2.629 6.972
0.000 -5.258 6.972
Nd Y Ho
6 1 8
Direct
0.037 0.602 0.729
0.271 0.963 0.398
0.398 0.271 0.963
0.602 0.729 0.037
0.729 0.037 0.602
0.963 0.398 0.271
0.500 0.500 0.500
0.077 0.077 0.077
0.217 0.612 0.249
0.249 0.217 0.612
0.388 0.751 0.783
0.612 0.249 0.217
0.751 0.783 0.388
0.783 0.388 0.751
0.923 0.923 0.923
```